Here is an optimized crystal structure of GaTc2 from OQMD. Energies are from PBE.

a b c (Å): 8.0979 8.0979 8.0979
angles (deg): 60.00 60.00 60.00
Closest atoms and distances in Å follow each position.
Positions (direct):
Tc: 0.3750 0.3750 0.3750  2 Ga 2.48
Tc: 0.3750 0.8750 0.3750  2 Ga 2.48
Tc: 0.8750 0.3750 0.3750  2 Ga 2.48
Tc: 0.3750 0.3750 0.8750  2 Ga 2.48
Ga: 0.2500 0.2500 0.2500  4 Tc 2.48
Ga: 0.5000 0.5000 0.5000  4 Tc 2.48

Computed properties:
energy	-4.76	eV/atom
symmetry	Fd-3m (227)

***

Here is an optimized crystal structure of GaTc2 from OQMD. Energies are from PBE.

a b c (Å): 5.1344 5.1344 5.1344
angles (deg): 60.00 60.00 60.00
Closest atoms and distances in Å follow each position.
Positions (direct):
Tc: 0.1250 0.6250 0.6250  6 Tc 2.57
Tc: 0.6250 0.6250 0.1250  6 Tc 2.57
Tc: 0.6250 0.1250 0.6250  6 Tc 2.57
Tc: 0.6250 0.6250 0.6250  6 Tc 2.57
Ga: 0.0000 0.0000 0.0000  12 Tc 3.01, 4 Ga 3.14
Ga: 0.2500 0.2500 0.2500  12 Tc 3.01, 4 Ga 3.14

Computed properties:
energy	-7.55	eV/atom
symmetry	Fd-3m (227)

***

Here is an optimized crystal structure of GaTc2Te2 from OQMD. Energies are from PBE.

a b c (Å): 7.7289 7.7289 7.7289
angles (deg): 149.21 149.21 44.11
Closest atoms and distances in Å follow each position.
Positions (direct):
Te: 0.3668 0.3668 0.0000  4 Tc 2.65
Te: 0.6332 0.6332 0.0000  4 Tc 2.65
Tc: 0.2500 0.7500 0.5000  4 Te 2.65, 4 Tc 2.90
Tc: 0.7500 0.2500 0.5000  4 Te 2.65, 4 Tc 2.90
Ga: 0.0000 0.0000 0.0000  8 Te 3.47

Computed properties:
energy	-5.77	eV/atom
symmetry	I4/mmm (139)

***

Here is an optimized crystal structure of Th2GaTc2 from OQMD. Energies are from PBE.

a b c (Å): 5.7895 5.7895 8.2230
angles (deg): 106.22 106.22 57.17
Closest atoms and distances in Å follow each position.
Positions (direct):
Th: 0.5056 0.2015 0.8550  4 Tc 2.87-2.98
Th: 0.4944 0.7985 0.1450  4 Tc 2.87-2.98
Th: 0.2015 0.5056 0.3550  4 Tc 2.87-2.98
Th: 0.7985 0.4944 0.6450  4 Tc 2.87-2.98
Ga: 0.1208 0.8792 0.7500  4 Tc 2.63-2.76
Ga: 0.8792 0.1208 0.2500  4 Tc 2.63-2.76
Tc: 0.0207 0.7031 0.9704  2 Ga 2.63-2.76, 1 Tc 2.67, 2 Th 2.87-2.89
Tc: 0.2969 0.9793 0.5296  2 Ga 2.63-2.76, 1 Tc 2.67, 2 Th 2.87-2.89
Tc: 0.9793 0.2969 0.0296  2 Ga 2.63-2.76, 1 Tc 2.67, 2 Th 2.87-2.89
Tc: 0.7031 0.0207 0.4704  2 Ga 2.63-2.76, 1 Tc 2.67, 2 Th 2.87-2.89

Computed properties:
energy	-8.02	eV/atom
symmetry	C2/c (15)

***

Here is an optimized crystal structure of ThGaTc from OQMD. Energies are from PBE.

a b c (Å): 4.6024 4.6024 4.6024
angles (deg): 60.00 60.00 60.00
Closest atoms and distances in Å follow each position.
Positions (direct):
Ga: 0.0000 0.0000 0.0000  4 Th 2.82, 4 Tc 2.82
Th: 0.7500 0.7500 0.7500  4 Ga 2.82
Tc: 0.2500 0.2500 0.2500  4 Ga 2.82

Computed properties:
energy	-6.75	eV/atom
symmetry	F-43m (216)

***

Here is an optimized crystal structure of Th2GaTc from OQMD. Energies are from PBE.

a b c (Å): 6.1703 3.9700 8.6791
angles (deg): 90.00 110.74 90.00
Closest atoms and distances in Å follow each position.
Positions (direct):
Tc: 0.3912 0.7500 0.7117  2 Ga 2.75, 4 Th 2.82-2.90
Tc: 0.6088 0.2500 0.2883  2 Ga 2.75, 4 Th 2.82-2.90
Ga: 0.8595 0.7500 0.2098  2 Tc 2.75
Ga: 0.1405 0.2500 0.7902  2 Tc 2.75
Th: 0.6884 0.2500 0.9053  2 Tc 2.82
Th: 0.7732 0.7500 0.5477  3 Tc 2.90-3.16, 3 Ga 3.16-3.18
Th: 0.3116 0.7500 0.0947  2 Tc 2.82
Th: 0.2268 0.2500 0.4523  3 Tc 2.90-3.16, 3 Ga 3.16-3.18

Computed properties:
energy	-7.41	eV/atom
symmetry	P2_1/m (11)

***

Here is an optimized crystal structure of TlGa2Tc from OQMD. Energies are from PBE.

a b c (Å): 4.7171 4.7171 4.7171
angles (deg): 60.00 60.00 60.00
Closest atoms and distances in Å follow each position.
Positions (direct):
Tc: 0.2500 0.2500 0.2500  4 Tl 2.89, 4 Ga 2.89
Tl: 0.5000 0.5000 0.5000  4 Tc 2.89, 4 Ga 2.89
Ga: 0.0000 0.0000 0.0000  4 Tc 2.89, 4 Ga 2.89
Ga: 0.7500 0.7500 0.7500  4 Tl 2.89, 4 Ga 2.89

Computed properties:
energy	-4.08	eV/atom
symmetry	F-43m (216)

***

Here is an optimized crystal structure of TlGaTc from OQMD. Energies are from PBE.

a b c (Å): 4.4645 4.4645 4.4645
angles (deg): 60.00 60.00 60.00
Closest atoms and distances in Å follow each position.
Positions (direct):
Ga: 0.2500 0.2500 0.2500  4 Tc 2.73
Tc: 0.0000 0.0000 0.0000  4 Tl 2.73, 4 Ga 2.73
Tl: 0.7500 0.7500 0.7500  4 Tc 2.73

Computed properties:
energy	-4.62	eV/atom
symmetry	F-43m (216)

***

Here is an optimized crystal structure of Tl2GaTc from OQMD. Energies are from PBE.

a b c (Å): 4.9763 4.9763 4.9763
angles (deg): 60.00 60.00 60.00
Closest atoms and distances in Å follow each position.
Positions (direct):
Tc: 0.0000 0.0000 0.0000  4 Ga 3.05, 4 Tl 3.05
Ga: 0.7500 0.7500 0.7500  4 Tl 3.05, 4 Tc 3.05
Tl: 0.5000 0.5000 0.5000  4 Ga 3.05, 4 Tl 3.05
Tl: 0.2500 0.2500 0.2500  4 Tl 3.05, 4 Tc 3.05

Computed properties:
energy	-3.75	eV/atom
symmetry	F-43m (216)

***

Here is an optimized crystal structure of Tm6GaTc2 from OQMD. Energies are from PBE.

a b c (Å): 8.3269 8.3269 8.3269
angles (deg): 112.46 111.83 104.25
Closest atoms and distances in Å follow each position.
Positions (direct):
Tm: 0.7511 0.9488 0.1977  1 Tc 2.78
Tm: 0.7255 0.1831 0.9086  3 Tc 2.86-2.95, 1 Ga 3.07
Tm: 0.0215 0.3343 0.6873  3 Tc 2.83-2.95
Tm: 0.7511 0.5533 0.8023  1 Tc 2.78
Tm: 0.6470 0.3343 0.3127  3 Tc 2.83-2.95
Tm: 0.7255 0.8169 0.5424  3 Tc 2.86-2.95, 1 Ga 3.07
Tm: 0.2489 0.4467 0.1977  1 Tc 2.78
Tm: 0.2745 0.8169 0.0914  3 Tc 2.86-2.95, 1 Ga 3.07
Tm: 0.2745 0.1831 0.4576  3 Tc 2.86-2.95, 1 Ga 3.07
Tm: 0.9785 0.6657 0.3127  3 Tc 2.83-2.95
Tm: 0.2489 0.0512 0.8023  1 Tc 2.78
Tm: 0.3530 0.6657 0.6873  3 Tc 2.83-2.95
Tc: 0.6160 0.1160 0.5000  1 Tc 2.37
Tc: 0.0000 0.3197 0.3197  8 Tm 2.78-2.95, 1 Ga 2.96
Tc: 0.3840 0.8840 0.5000  1 Tc 2.37
Tc: 0.0000 0.6803 0.6803  8 Tm 2.78-2.95, 1 Ga 2.96
Ga: 0.5000 0.5000 0.0000  8 Tm 3.15-3.38
Ga: 0.0000 0.0000 0.0000  2 Tc 2.96, 8 Tm 3.07-3.14

Computed properties:
energy	-5.86	eV/atom
symmetry	Immm (71)

***

Here is an optimized crystal structure of Tm3Ga9Tc2 from OQMD. Energies are from PBE.

a b c (Å): 8.1022 8.1022 8.1022
angles (deg): 149.81 109.11 78.94
Closest atoms and distances in Å follow each position.
Positions (direct):
Ga: 0.6508 0.3666 0.2842  4 Ga 2.54-2.79, 2 Tc 2.72
Ga: 0.5173 0.1521 0.3652  4 Ga 2.53-2.79, 1 Tc 2.62
Ga: 0.4827 0.8479 0.6348  4 Ga 2.53-2.79, 1 Tc 2.62
Ga: 0.9176 0.6334 0.2842  4 Ga 2.54-2.79, 2 Tc 2.72
Ga: 0.7869 0.1521 0.6348  4 Ga 2.53-2.79, 1 Tc 2.62
Ga: 0.2131 0.8479 0.3652  4 Ga 2.53-2.79, 1 Tc 2.62
Ga: 0.3492 0.6334 0.7158  4 Ga 2.54-2.79, 2 Tc 2.72
Ga: 0.0000 0.5000 0.5000  4 Ga 2.63, 4 Tc 2.67
Ga: 0.0824 0.3666 0.7158  4 Ga 2.54-2.79, 2 Tc 2.72
Tm: 0.5000 0.5000 0.0000  12 Ga 3.11-3.15
Tm: 0.8008 0.8008 0.0000  2 Tc 2.98, 10 Ga 3.04-3.27
Tm: 0.1992 0.1992 0.0000  2 Tc 2.98, 10 Ga 3.04-3.27
Tc: 0.8264 0.0000 0.8264  8 Ga 2.62-2.72
Tc: 0.1736 0.0000 0.1736  8 Ga 2.62-2.72

Computed properties:
energy	-4.86	eV/atom
symmetry	Immm (71)

***

Here is an optimized crystal structure of UGaTc from OQMD. Energies are from PBE.

a b c (Å): 4.4514 4.4514 4.4514
angles (deg): 60.00 60.00 60.00
Closest atoms and distances in Å follow each position.
Positions (direct):
Tc: 0.2500 0.2500 0.2500  4 Ga 2.73
U: 0.7500 0.7500 0.7500  4 Ga 2.73
Ga: 0.0000 0.0000 0.0000  4 U 2.73, 4 Tc 2.73

Computed properties:
energy	-7.70	eV/atom
symmetry	F-43m (216)

***

Here is an optimized crystal structure of UGaTc from OQMD. Energies are from PBE.

a b c (Å): 4.5190 4.5190 4.5190
angles (deg): 60.00 60.00 60.00
Closest atoms and distances in Å follow each position.
Positions (direct):
Ga: 0.2500 0.2500 0.2500  4 U 2.77
Tc: 0.7500 0.7500 0.7500  4 U 2.77
U: 0.0000 0.0000 0.0000  4 Ga 2.77, 4 Tc 2.77

Computed properties:
energy	-7.40	eV/atom
symmetry	F-43m (216)